EuFeO3 | GGA+U | relaxed

Lattice parameters (Å, degrees): 3.8987 3.8987 3.8987 90.00 90.00 90.00
Sites, in units of the cell vectors:
Eu 0.0000 0.0000 0.0000
Fe 0.5000 0.5000 0.5000
O 0.0000 0.5000 0.5000
O 0.5000 0.0000 0.5000
O 0.5000 0.5000 0.0000

Values from the calculation:
Magnetic moment in Bohr magnetons per cell: 1.99
DFT total energy in eV for the cell shown: -41.118
N(E_F) in states/eV/cell: 9.1